1.
Here is a geometry-optimized VTeAuF2 structure from the Alexandria database. Energies are from PBE with a Hubbard U.

## Properties
**M_tot**: 0.4993 μB per atom
**Volume**: 19.21 Å³ per atom
**Electronic total energy**: -5.010 eV/atom
**SG**: No. 123

Cell: 3.983 3.983 6.054 Å, 90.00 90.00 90.00°
Each line ends with the local moment (μB).
Positions (direct):
F  0.500  0.000  0.000  0.00
Te  0.000  0.000  0.500  -0.02
Au  0.500  0.500  0.500  0.01
V  0.000  0.000  0.000  2.33
F  0.000  0.500  0.000  0.00

***

2.
Here is a geometry-optimized LiVF4 structure from the Alexandria database. Energies are from PBE with a Hubbard U.

## Properties
**M_tot**: 0.3333 μB per atom
**Volume**: 11.47 Å³ per atom
**Excess energy over the best structure of this formula in the dataset**: 13 meV/atom
**SG**: No. 60

Cell: 4.679 5.716 10.289 Å, 90.00 90.00 90.00°
Each line ends with the local moment (μB).
Positions (direct):
F  0.284  0.018  0.342  0.00
Li  0.000  0.810  0.250  0.00
V  0.000  0.500  0.000  1.92
F  0.771  0.228  0.922  0.00
F  0.784  0.482  0.658  0.00
Li  0.000  0.190  0.750  0.00
F  0.216  0.518  0.342  0.00
F  0.716  0.018  0.158  0.00
F  0.771  0.772  0.422  0.00
F  0.216  0.482  0.842  0.00
F  0.729  0.272  0.422  0.00
V  0.500  0.000  0.500  1.92
F  0.284  0.982  0.842  0.00
V  0.500  0.000  0.000  1.92
V  0.000  0.500  0.500  1.92
F  0.271  0.272  0.078  0.00
Li  0.500  0.310  0.250  0.00
F  0.229  0.228  0.578  0.00
Li  0.500  0.690  0.750  0.00
F  0.784  0.518  0.158  0.00
F  0.716  0.982  0.658  0.00
F  0.229  0.772  0.078  0.00
F  0.271  0.728  0.578  0.00
F  0.729  0.728  0.922  0.00